Record 1
# KRbNb, optimized geometry, DFT PBE
data_KRbNb
_space_group_name_H-M_alt 'P 1'
_space_group_IT_number 1
_space_group_name_Hall 'P 1'
_cell_length_a 6.219
_cell_length_b 6.219
_cell_length_c 6.219
_cell_angle_alpha 60.00
_cell_angle_beta 60.00
_cell_angle_gamma 60.00
loop_
_atom_site_label
_atom_site_fract_x
_atom_site_fract_y
_atom_site_fract_z
_atom_site_occupancy
K1 0.250 0.250 0.250 1
Nb1 0.000 0.000 0.000 1
Rb1 0.750 0.750 0.750 1
# space group: F-43m
# crystal system: cubic



Record 2
# P4Os, optimized geometry, DFT PBE
data_P4Os
_space_group_name_H-M_alt 'P 1'
_space_group_IT_number 1
_space_group_name_Hall 'P 1'
_cell_length_a 4.713
_cell_length_b 4.703
_cell_length_c 7.143
_cell_angle_alpha 90.00
_cell_angle_beta 99.61
_cell_angle_gamma 90.00
loop_
_atom_site_label
_atom_site_fract_x
_atom_site_fract_y
_atom_site_fract_z
_atom_site_occupancy
Os1 0.000 0.500 0.000 1
Os2 0.000 0.000 0.500 1
P1 0.377 0.848 0.089 1
P2 0.215 0.190 0.248 1
P3 0.785 0.690 0.252 1
P4 0.623 0.348 0.411 1
P5 0.377 0.652 0.589 1
P6 0.215 0.310 0.748 1
P7 0.785 0.810 0.752 1
P8 0.623 0.152 0.911 1
# space group: P2_1/c
# crystal system: monoclinic



Results for uncorrected energy: -2.423 -6.938 (in eV per atom, following the order of the records).
Results for theoretical density: 2.12 6.68 (in g cm⁻³, following the order of the records).
Results for polymorph energy (0 for the lowest one): 0 16 (in meV/atom, following the order of the records).